{"formula": "TlCd2Sn2", "functional": "meta-GGA SCAN", "state": "PBEsol geometry", "lattice": [[4.685, 0.000, 0.000], [0.000, 4.685, 0.000], [0.000, 0.000, 12.399]], "species": ["Tl", "Tl", "Cd", "Cd", "Cd", "Cd", "Sn", "Sn", "Sn", "Sn"], "fractional_positions": [[0.000, 0.000, 0.000], [0.500, 0.500, 0.500], [0.000, 0.500, 0.250], [0.000, 0.500, 0.750], [0.500, 0.000, 0.250], [0.500, 0.000, 0.750], [0.000, 0.000, 0.387], [0.000, 0.000, 0.613], [0.500, 0.500, 0.113], [0.500, 0.500, 0.887]], "formation_enthalpy_0k_mev_per_atom": 33, "total_energy_ev_per_atom": -40.97, "magmom_total_mub_per_fu": 0.00, "vol_a3_per_fu": 136, "relative_energy_mev_per_atom": 0, "sg": "I4/mmm (139)"}

{"formula": "MgI2NCl", "functional": "meta-GGA SCAN", "state": "PBEsol geometry", "lattice": [[5.769, 0.000, 0.000], [0.000, 5.769, 0.000], [0.000, 0.000, 3.998]], "species": ["Mg", "I", "I", "N", "Cl"], "fractional_positions": [[0.000, 0.000, 0.000], [0.000, 0.500, 0.000], [0.500, 0.000, 0.000], [0.000, 0.000, 0.500], [0.500, 0.500, 0.500]], "total_energy_ev_per_atom": -18.80, "e_form_raw_ev_per_atom": 0.344, "magmom_total_mub_per_fu": 4.02, "vol_a3_per_fu": 133, "sg": "P4/mmm (123)"}

{"formula": "Be2AgSb", "functional": "meta-GGA SCAN", "state": "PBEsol geometry", "lattice": [[7.945, 0.000, 0.000], [0.000, 3.063, 0.000], [-1.250, 0.000, 5.149]], "species": ["Be", "Be", "Be", "Be", "Ag", "Ag", "Sb", "Sb"], "fractional_positions": [[0.243, 0.000, 0.169], [0.257, 0.500, 0.831], [0.743, 0.500, 0.169], [0.757, 0.000, 0.831], [0.000, 0.500, 0.000], [0.500, 0.000, 0.000], [0.000, 0.000, 0.500], [0.500, 0.500, 0.500]], "total_energy_ev_per_atom": -18.93, "e_form_raw_ev_per_atom": 0.407, "magmom_total_mub_per_fu": 0.00, "vol_a3_per_fu": 63, "sg": "C2/m (12)"}

{"formula": "CdMo2Se", "functional": "meta-GGA SCAN", "state": "PBEsol geometry", "lattice": [[3.179, 0.000, 0.000], [0.000, 3.179, 0.000], [0.000, 0.000, 7.025]], "species": ["Cd", "Mo", "Mo", "Se"], "fractional_positions": [[0.000, 0.000, 0.000], [0.000, 0.000, 0.472], [0.500, 0.500, 0.263], [0.500, 0.500, 0.659]], "total_energy_ev_per_atom": -29.89, "e_form_raw_ev_per_atom": 0.178, "magmom_total_mub_per_fu": 0.00, "vol_a3_per_fu": 71, "relative_energy_mev_per_atom": 1, "sg": "P4mm (99)"}

{"formula": "MgCd2Cu", "functional": "meta-GGA SCAN", "state": "PBEsol geometry", "lattice": [[3.174, 0.000, 0.000], [0.000, 3.301, 0.000], [0.000, 0.000, 6.752]], "species": ["Mg", "Cd", "Cd", "Cu"], "fractional_positions": [[0.000, 0.000, 0.000], [0.000, 0.000, 0.566], [0.500, 0.500, 0.279], [0.500, 0.500, 0.787]], "formation_enthalpy_0k_mev_per_atom": -49, "total_energy_ev_per_atom": -20.30, "magmom_total_mub_per_fu": 0.00, "vol_a3_per_fu": 71, "sg": "Pmm2 (25)"}

{"formula": "FeSbTe", "functional": "meta-GGA SCAN", "state": "PBEsol geometry", "lattice": [[6.758, 0.000, 0.000], [0.000, 6.758, 0.000], [0.000, 0.000, 6.758]], "species": ["Fe", "Fe", "Fe", "Fe", "Sb", "Sb", "Sb", "Sb", "Te", "Te", "Te", "Te"], "fractional_positions": [[0.000, 0.000, 0.000], [0.000, 0.500, 0.500], [0.500, 0.000, 0.500], [0.500, 0.500, 0.000], [0.000, 0.000, 0.500], [0.000, 0.500, 0.000], [0.500, 0.000, 0.000], [0.500, 0.500, 0.500], [0.250, 0.250, 0.250], [0.250, 0.750, 0.750], [0.750, 0.250, 0.750], [0.750, 0.750, 0.250]], "total_energy_ev_per_atom": -30.06, "e_form_raw_ev_per_atom": 0.820, "magmom_total_mub_per_fu": 3.16, "vol_a3_per_fu": 77, "sg": "F-43m (216)"}